No. 1
First-principles (GGA-PBE) data for an optimized crystal structure of Hg3PtO, as listed in Alexandria.

Properties
SG ... Pm-3m (221)
Spin magnetization ... 1.439 μB per cell
DFT total energy ... -9.63 eV/cell
E_form (uncorrected) ... 0.46 eV/atom

Unit cell a=5.290 b=5.290 c=5.290 alpha=90.00 beta=90.00 gamma=90.00
Sites, in units of the cell vectors:
Hg: 0.000 0.000 0.500
Hg: 0.000 0.500 0.000
Hg: 0.500 0.000 0.000
Pt: 0.000 0.000 0.000
O: 0.500 0.500 0.500

No. 2
First-principles (GGA-PBE) data for an optimized crystal structure of HgPt2O, as listed in Alexandria.

Properties
SG ... Fm-3m (225)
Spin magnetization ... 1.604 μB per cell
DFT total energy ... -14.53 eV/cell
E_form (uncorrected) ... 0.70 eV/atom

Unit cell a=4.469 b=4.469 c=4.469 alpha=60.00 beta=60.00 gamma=60.00
Sites, in units of the cell vectors:
Hg: 0.000 0.000 0.000
Pt: 0.250 0.250 0.250
Pt: 0.750 0.750 0.750
O: 0.500 0.500 0.500

No. 3
First-principles (GGA-PBE) data for an optimized crystal structure of HgPt2O, as listed in Alexandria.

Properties
SG ... P1 (1)
Spin magnetization ... 0.000 μB per cell
DFT total energy ... -34.72 eV/cell
E_form (uncorrected) ... 0.00 eV/atom

Unit cell a=4.680 b=5.577 c=5.621 alpha=98.64 beta=95.70 gamma=95.98
Sites, in units of the cell vectors:
Hg: 0.000 0.000 0.000
Hg: 0.472 0.187 0.662
Pt: 0.369 0.753 0.315
Pt: 0.918 0.490 0.994
Pt: 0.921 0.970 0.481
Pt: 0.927 0.483 0.496
O: 0.229 0.519 0.776
O: 0.607 0.467 0.219

No. 4
First-principles (GGA-PBE) data for an optimized crystal structure of HgPt2O, as listed in Alexandria.

Properties
SG ... I-42d (122)
Spin magnetization ... 0.000 μB per cell
DFT total energy ... -33.63 eV/cell
E_form (uncorrected) ... 0.13 eV/atom

Unit cell a=7.212 b=7.212 c=7.212 alpha=138.95 beta=138.95 gamma=59.45
Sites, in units of the cell vectors:
Hg: 0.000 0.000 0.000
Hg: 0.750 0.250 0.500
Pt: 0.317 0.625 0.192
Pt: 0.375 0.567 0.692
Pt: 0.433 0.125 0.808
Pt: 0.875 0.683 0.308
O: 0.250 0.750 0.500
O: 0.500 0.500 0.000

No. 5
First-principles (GGA-PBE) data for an optimized crystal structure of HgPt2O, as listed in Alexandria.

Properties
SG ... P1 (1)
Spin magnetization ... 0.000 μB per cell
DFT total energy ... -34.60 eV/cell
E_form (uncorrected) ... 0.01 eV/atom

Unit cell a=4.304 b=5.360 c=6.689 alpha=106.05 beta=95.69 gamma=111.77
Sites, in units of the cell vectors:
Hg: 0.000 0.000 0.000
Hg: 0.415 0.776 0.226
Pt: 0.228 0.832 0.631
Pt: 0.577 0.425 0.896
Pt: 0.593 0.397 0.389
Pt: 0.872 0.149 0.616
O: 0.348 0.469 0.630
O: 0.827 0.373 0.144

No. 6
First-principles (GGA-PBE) data for an optimized crystal structure of HgPtO3, as listed in Alexandria.

Properties
SG ... Pm-3m (221)
Spin magnetization ... 2.402 μB per cell
DFT total energy ... -15.52 eV/cell
E_form (uncorrected) ... 1.14 eV/atom

Unit cell a=4.134 b=4.134 c=4.134 alpha=90.00 beta=90.00 gamma=90.00
Sites, in units of the cell vectors:
Hg: 0.000 0.000 0.000
Pt: 0.500 0.500 0.500
O: 0.000 0.000 0.500
O: 0.000 0.500 0.000
O: 0.500 0.000 0.000

Question: What is the DFT total energy in the sixth record?
Answer: -15.52 eV/cell

Question: What is the DFT total energy in the sixth record?
Answer: -15.52 eV/cell

Question: What is the DFT total energy in the third record?
Answer: -34.72 eV/cell